(1)
Computed, not measured: a relaxed Mn2NiBr crystal at the PBE-GGA level of DFT.

Values from the calculation:
ΔE to the lowest computed polymorph in meV/atom: 389
Space group: I-4m2 (119)
Formation energy (no corrections) in eV per formula unit: 2.3
Volume in Å³ per atom: 15.93
Magnetization in μB per formula unit: 8.85
Electronic total energy in eV/atom: -5.882

Structure (POSCAR):
```
Mn2NiBr
1.0
-1.8574 1.8574 4.6175
1.8574 -1.8574 4.6175
1.8574 1.8574 -4.6175
Mn Ni Br
2 1 1
Direct
0.0000 0.0000 0.0000
0.7500 0.2500 0.5000
0.2500 0.7500 0.5000
0.5000 0.5000 0.0000
```

***

(2)
Computed, not measured: a relaxed MnNi3Br crystal at the PBE-GGA level of DFT.

Values from the calculation:
ΔE to the lowest computed polymorph in meV/atom: 220
Space group: Pm-3m (221)
Formation energy (no corrections) in eV per formula unit: 5.7
Volume in Å³ per atom: 17.46
Magnetization in μB per formula unit: 4.94
Electronic total energy in eV/atom: -4.495

Structure (POSCAR):
```
MnNi3Br
1.0
4.4363 0.0000 0.0000
0.0000 4.4363 0.0000
0.0000 0.0000 4.4363
Mn Ni Br
1 3 1
Direct
0.0000 0.0000 0.0000
0.0000 0.0000 0.5000
0.0000 0.5000 0.0000
0.5000 0.0000 0.0000
0.5000 0.5000 0.5000
```

***

(3)
Computed, not measured: a relaxed MnNiBr crystal at the PBE-GGA level of DFT.

Values from the calculation:
ΔE to the lowest computed polymorph in meV/atom: 274
Space group: F-43m (216)
Formation energy (no corrections) in eV per formula unit: 1.5
Volume in Å³ per atom: 18.23
Magnetization in μB per formula unit: 4.69
Electronic total energy in eV/atom: -5.029

Structure (POSCAR):
```
MnNiBr
1.0
0.0000 3.0128 3.0128
3.0128 0.0000 3.0128
3.0128 3.0128 0.0000
Mn Ni Br
1 1 1
Direct
0.0000 0.0000 0.0000
0.7500 0.7500 0.7500
0.5000 0.5000 0.5000
```

***

(4)
Computed, not measured: a relaxed Mn2NiBr crystal at the PBE-GGA level of DFT.

Values from the calculation:
ΔE to the lowest computed polymorph in meV/atom: 134
Space group: Pm (6)
Formation energy (no corrections) in eV per formula unit: 1.2
Volume in Å³ per atom: 18.45
Magnetization in μB per formula unit: 8.86
Electronic total energy in eV/atom: -6.137

Structure (POSCAR):
```
Mn2NiBr
1.0
3.3786 0.0000 0.0000
0.0000 3.3180 0.0000
-0.0017 0.0000 6.5841
Mn Ni Br
2 1 1
Direct
0.0000 0.0000 0.0000
0.5002 0.5000 0.2482
0.0004 0.0000 0.3698
0.0065 0.5000 0.6882
```

***

(5)
Computed, not measured: a relaxed Mn2NiBr crystal at the PBE-GGA level of DFT.

Values from the calculation:
ΔE to the lowest computed polymorph in meV/atom: 75
Space group: P4/mmm (123)
Formation energy (no corrections) in eV per formula unit: 1.0
Volume in Å³ per atom: 16.95
Magnetization in μB per formula unit: 9.01
Electronic total energy in eV/atom: -6.196

Structure (POSCAR):
```
Mn2NiBr
1.0
3.1405 0.0000 0.0000
0.0000 3.1405 0.0000
0.0000 0.0000 6.8749
Mn Ni Br
2 1 1
Direct
0.0000 0.0000 0.1989
0.0000 0.0000 0.8011
0.5000 0.5000 0.0000
0.5000 0.5000 0.5000
```

***

(6)
Computed, not measured: a relaxed Mn3NiBr8 crystal at the PBE-GGA level of DFT.

Values from the calculation:
Space group: C222 (21)
Formation energy (no corrections) in eV per formula unit: -7.4
Volume in Å³ per atom: 27.39
Magnetization in μB per formula unit: 17.01
Electronic total energy in eV/atom: -4.505

Structure (POSCAR):
```
Mn3NiBr8
1.0
3.8722 -5.5357 0.0000
3.8722 5.5357 0.0000
0.0000 0.0000 7.6657
Mn Ni Br
3 1 8
Direct
0.0000 0.0000 0.0000
0.0000 0.5000 0.7471
0.5000 0.0000 0.2529
0.0000 0.0000 0.5000
0.2262 0.2487 0.7396
0.2288 0.7712 0.5000
0.2402 0.7598 0.0000
0.2487 0.2262 0.2604
0.7513 0.7738 0.2604
0.7598 0.2402 0.0000
0.7712 0.2288 0.5000
0.7738 0.7513 0.7396
```

***

(7)
Computed, not measured: a relaxed Mn2NiBr crystal at the PBE-GGA level of DFT.

Values from the calculation:
ΔE to the lowest computed polymorph in meV/atom: 338
Space group: P4/mmm (123)
Formation energy (no corrections) in eV per formula unit: 2.1
Volume in Å³ per atom: 16.24
Magnetization in μB per formula unit: 9.07
Electronic total energy in eV/atom: -5.933

Structure (POSCAR):
```
Mn2NiBr
1.0
4.5648 0.0000 0.0000
0.0000 4.5648 0.0000
0.0000 0.0000 3.1175
Mn Ni Br
2 1 1
Direct
0.0000 0.5000 0.0000
0.5000 0.0000 0.0000
0.0000 0.0000 0.5000
0.5000 0.5000 0.5000
```

***

(8)
Computed, not measured: a relaxed MnNiBr crystal at the PBE-GGA level of DFT.

Values from the calculation:
ΔE to the lowest computed polymorph in meV/atom: 109
Space group: Fmm2 (42)
Formation energy (no corrections) in eV per formula unit: 1.0
Volume in Å³ per atom: 17.52
Magnetization in μB per formula unit: 4.58
Electronic total energy in eV/atom: -5.194

Structure (POSCAR):
```
MnNiBr
1.0
0.0000 2.6489 5.5706
1.7813 0.0000 5.5706
1.7813 2.6489 0.0000
Mn Ni Br
1 1 1
Direct
0.0000 0.0000 0.0000
0.3589 0.3589 0.6411
0.6787 0.6787 0.3213
```

***

(9)
Computed, not measured: a relaxed MnNiBr4 crystal at the PBE-GGA level of DFT.

Values from the calculation:
Space group: Imma (74)
Formation energy (no corrections) in eV per formula unit: -3.2
Volume in Å³ per atom: 26.36
Magnetization in μB per formula unit: 7.01
Electronic total energy in eV/atom: -4.145

Structure (POSCAR):
```
MnNiBr4
1.0
-3.7656 3.8966 5.3898
3.7656 -3.8966 5.3898
3.7656 3.8966 -5.3898
Mn Ni Br
2 2 8
Direct
0.0000 0.0000 0.0000
0.5000 0.0000 0.5000
0.5000 0.0000 0.0000
0.5000 0.5000 0.5000
0.2604 0.2566 0.4962
0.2604 0.7642 0.0038
0.2745 0.2494 0.0251
0.2758 0.7506 0.5251
0.7242 0.2494 0.4749
0.7255 0.7506 0.9749
0.7396 0.2358 0.9962
0.7396 0.7434 0.5038
```

***

(10)
Computed, not measured: a relaxed Mn2NiBr crystal at the PBE-GGA level of DFT.

Values from the calculation:
ΔE to the lowest computed polymorph in meV/atom: 364
Space group: Immm (71)
Formation energy (no corrections) in eV per formula unit: 2.2
Volume in Å³ per atom: 15.82
Magnetization in μB per formula unit: 8.47
Electronic total energy in eV/atom: -5.907

Structure (POSCAR):
```
Mn2NiBr
1.0
-1.7438 2.3227 3.9063
1.7438 -2.3227 3.9063
1.7438 2.3227 -3.9063
Mn Ni Br
2 1 1
Direct
0.2381 0.2381 0.0000
0.7619 0.7619 0.0000
0.0000 0.5000 0.5000
0.5000 0.0000 0.5000
```

***

(11)
Computed, not measured: a relaxed MnNiBr crystal at the PBE-GGA level of DFT.

Values from the calculation:
ΔE to the lowest computed polymorph in meV/atom: 105
Space group: I4mm (107)
Formation energy (no corrections) in eV per formula unit: 1.0
Volume in Å³ per atom: 16.73
Magnetization in μB per formula unit: 4.58
Electronic total energy in eV/atom: -5.198

Structure (POSCAR):
```
MnNiBr
1.0
-1.5802 1.5802 5.0262
1.5802 -1.5802 5.0262
1.5802 1.5802 -5.0262
Mn Ni Br
1 1 1
Direct
0.0000 0.0000 0.0000
0.6265 0.6265 0.0000
0.3135 0.3135 0.0000
```

***

(12)
Computed, not measured: a relaxed Mn2NiBr crystal at the PBE-GGA level of DFT.

Values from the calculation:
ΔE to the lowest computed polymorph in meV/atom: 321
Space group: C2/m (12)
Formation energy (no corrections) in eV per formula unit: 2.0
Volume in Å³ per atom: 15.38
Magnetization in μB per formula unit: 8.28
Electronic total energy in eV/atom: -5.950

Structure (POSCAR):
```
Mn2NiBr
1.0
2.7601 -3.6119 0.0000
2.7601 3.6119 0.0000
-0.0147 0.0000 3.0856
Mn Ni Br
2 1 1
Direct
0.0000 0.5000 0.0000
0.5000 0.0000 0.0000
0.0000 0.0000 0.5000
0.5000 0.5000 0.5000
```

***

(13)
Computed, not measured: a relaxed MnNiBr crystal at the PBE-GGA level of DFT.

Values from the calculation:
ΔE to the lowest computed polymorph in meV/atom: 322
Space group: F-43m (216)
Formation energy (no corrections) in eV per formula unit: 1.7
Volume in Å³ per atom: 17.98
Magnetization in μB per formula unit: 4.32
Electronic total energy in eV/atom: -4.981

Structure (POSCAR):
```
MnNiBr
1.0
0.0000 2.9990 2.9990
2.9990 0.0000 2.9990
2.9990 2.9990 0.0000
Mn Ni Br
1 1 1
Direct
0.0000 0.0000 0.0000
0.7500 0.7500 0.7500
0.2500 0.2500 0.2500
```

***

(14)
Computed, not measured: a relaxed MnNi3Br crystal at the PBE-GGA level of DFT.

Values from the calculation:
ΔE to the lowest computed polymorph in meV/atom: 0
Space group: Pm-3m (221)
Formation energy (no corrections) in eV per formula unit: 4.6
Volume in Å³ per atom: 16.45
Magnetization in μB per formula unit: 4.48
Electronic total energy in eV/atom: -4.715

Structure (POSCAR):
```
MnNi3Br
1.0
4.3487 0.0000 0.0000
0.0000 4.3487 0.0000
0.0000 0.0000 4.3487
Mn Ni Br
1 3 1
Direct
0.0000 0.0000 0.0000
0.0000 0.5000 0.5000
0.5000 0.0000 0.5000
0.5000 0.5000 0.0000
0.5000 0.5000 0.5000
```

***

(15)
Computed, not measured: a relaxed Mn2NiBr crystal at the PBE-GGA level of DFT.

Values from the calculation:
ΔE to the lowest computed polymorph in meV/atom: 740
Space group: Fm-3m (225)
Formation energy (no corrections) in eV per formula unit: 3.7
Volume in Å³ per atom: 12.30
Magnetization in μB per formula unit: 0.00
Electronic total energy in eV/atom: -5.531

Structure (POSCAR):
```
Mn2NiBr
1.0
0.0000 2.9086 2.9086
2.9086 0.0000 2.9086
2.9086 2.9086 0.0000
Mn Ni Br
2 1 1
Direct
0.2500 0.2500 0.2500
0.7500 0.7500 0.7500
0.0000 0.0000 0.0000
0.5000 0.5000 0.5000
```

***

(16)
Computed, not measured: a relaxed MnNiBr3 crystal at the PBE-GGA level of DFT.

Values from the calculation:
ΔE to the lowest computed polymorph in meV/atom: 0
Space group: Pm-3m (221)
Formation energy (no corrections) in eV per formula unit: 0.5
Volume in Å³ per atom: 23.99
Magnetization in μB per formula unit: 5.11
Electronic total energy in eV/atom: -3.889

Structure (POSCAR):
```
MnNiBr3
1.0
4.9317 0.0000 0.0000
0.0000 4.9317 0.0000
0.0000 0.0000 4.9317
Mn Ni Br
1 1 3
Direct
0.0000 0.0000 0.0000
0.5000 0.5000 0.5000
0.0000 0.5000 0.5000
0.5000 0.0000 0.5000
0.5000 0.5000 0.0000
```

***

(17)
Computed, not measured: a relaxed MnNiBr crystal at the PBE-GGA level of DFT.

Values from the calculation:
ΔE to the lowest computed polymorph in meV/atom: 0
Space group: P3m1 (156)
Formation energy (no corrections) in eV per formula unit: 0.7
Volume in Å³ per atom: 17.19
Magnetization in μB per formula unit: 3.98
Electronic total energy in eV/atom: -5.303

Structure (POSCAR):
```
MnNiBr
1.0
3.3402 0.0000 0.0000
-1.6701 2.8927 0.0000
0.0000 0.0000 5.3383
Mn Ni Br
1 1 1
Direct
0.0000 0.0000 0.0000
0.3333 0.6667 0.2753
0.6667 0.3333 0.6393
```

***

(18)
Computed, not measured: a relaxed Mn2NiBr crystal at the PBE-GGA level of DFT.

Values from the calculation:
ΔE to the lowest computed polymorph in meV/atom: 114
Space group: Imm2 (44)
Formation energy (no corrections) in eV per formula unit: 1.2
Volume in Å³ per atom: 17.94
Magnetization in μB per formula unit: 8.77
Electronic total energy in eV/atom: -6.158

Structure (POSCAR):
```
Mn2NiBr
1.0
-1.5681 1.7638 6.4855
1.5681 -1.7638 6.4855
1.5681 1.7638 -6.4855
Mn Ni Br
2 1 1
Direct
0.0000 0.0000 0.0000
0.8088 0.3088 0.5000
0.3718 0.8718 0.5000
0.6321 0.6321 0.0000
```

***

(19)
Computed, not measured: a relaxed Mn2NiBr crystal at the PBE-GGA level of DFT.

Values from the calculation:
ΔE to the lowest computed polymorph in meV/atom: 587
Space group: F-43m (216)
Formation energy (no corrections) in eV per formula unit: 3.1
Volume in Å³ per atom: 16.04
Magnetization in μB per formula unit: 8.54
Electronic total energy in eV/atom: -5.684

Structure (POSCAR):
```
Mn2NiBr
1.0
0.0000 3.1776 3.1776
3.1776 0.0000 3.1776
3.1776 3.1776 0.0000
Mn Ni Br
2 1 1
Direct
0.0000 0.0000 0.0000
0.2500 0.2500 0.2500
0.5000 0.5000 0.5000
0.7500 0.7500 0.7500
```

***

(20)
Computed, not measured: a relaxed Mn2NiBr crystal at the PBE-GGA level of DFT.

Values from the calculation:
ΔE to the lowest computed polymorph in meV/atom: 72
Space group: Cm (8)
Formation energy (no corrections) in eV per formula unit: 1.0
Volume in Å³ per atom: 18.49
Magnetization in μB per formula unit: 8.63
Electronic total energy in eV/atom: -6.200

Structure (POSCAR):
```
Mn2NiBr
1.0
3.6009 -1.6200 0.0000
3.6009 1.6200 0.0000
-1.4972 0.0000 6.3406
Mn Ni Br
2 1 1
Direct
0.0000 0.0000 0.0000
0.6693 0.6693 0.3568
0.3341 0.3341 0.1784
0.2298 0.2298 0.7015
```